A relaxed structure of Pm5PtS4, computed with PBE.

Results
Uncorrected formation energy: -1.8407 eV per atom
Total magnetic moment: 0.00 Bohr magnetons per cell

Unit cell a=7.1310 b=7.1310 c=10.0663 alpha=118.54 beta=118.54 gamma=32.66
Last column: nearest neighbours and their distance in Å.
Atoms (fractional coordinates):
Pm 0.0000 0.0000 0.0000  6 S 2.86-2.88
Pm 0.2016 0.2016 0.8054  5 S 2.85-2.88, 1 Pt 2.94
Pm 0.3998 0.3998 0.5996  2 Pt 2.88, 4 S 2.90-2.91
Pm 0.6002 0.6002 0.4004  2 Pt 2.88, 4 S 2.90-2.91
Pm 0.7984 0.7984 0.1946  5 S 2.85-2.88, 1 Pt 2.94
Pt 0.0000 0.0000 0.5000  6 Pm 2.88-2.94
S 0.2004 0.2004 0.2971  6 Pm 2.87-2.91
S 0.4005 0.4005 0.0980  6 Pm 2.85-2.91
S 0.5995 0.5995 0.9020  6 Pm 2.85-2.91
S 0.7996 0.7996 0.7029  6 Pm 2.87-2.91